(1)
Compound: Hf3Zr3Sb2Os
Source: OQMD via LeMat-Bulk
Functional: PBE-GGA
Structure: optimized geometry

Unit cell a=7.840 b=7.840 c=3.645 alpha=90.00 beta=90.00 gamma=120.00
Fractional coordinates of all 9 atoms:
1 Hf 0.247 0.000 0.500
2 Hf 0.000 0.247 0.500
3 Hf 0.753 0.753 0.500
4 Os 0.000 0.000 0.000
5 Sb 0.667 0.333 0.500
6 Sb 0.333 0.667 0.500
7 Zr 0.599 0.000 0.000
8 Zr 0.401 0.401 0.000
9 Zr 0.000 0.599 0.000

Results
relative energy among the computed polymorphs: 0 meV per atom
space group: P-62m

---

(2)
Compound: Hf2ScOs3
Source: OQMD via LeMat-Bulk
Functional: PBE-GGA
Structure: optimized geometry

Unit cell a=3.236 b=3.236 c=9.697 alpha=90.00 beta=90.00 gamma=90.00
Fractional coordinates of all 6 atoms:
1 Hf 0.500 0.500 0.170
2 Hf 0.500 0.500 0.830
3 Os 0.000 0.000 0.000
4 Os 0.000 0.000 0.331
5 Os 0.000 0.000 0.669
6 Sc 0.500 0.500 0.500

Results
ΔE_f: -622 meV/atom
space group: P4/mmm

---

(3)
Compound: HfSc2Os3
Source: OQMD via LeMat-Bulk
Functional: PBE-GGA
Structure: optimized geometry

Unit cell a=5.424 b=5.424 c=4.277 alpha=90.00 beta=90.00 gamma=119.98
Fractional coordinates of all 6 atoms:
1 Hf 0.000 0.000 0.000
2 Os 0.500 0.000 0.500
3 Os 0.000 0.500 0.500
4 Os 0.500 0.500 0.500
5 Sc 0.667 0.333 0.000
6 Sc 0.333 0.667 0.000

Results
ΔE_f: 120 meV/atom
space group: P6/mmm